Entry 1:
## Y2BeRuN (GGA-PBE)

Data for an optimized crystal structure of Y2BeRuN.

Output
crystal system	tetragonal
energy relative to the elements, uncorrected	-0.654	eV/atom
total magnetization	0.0	μB/cell
mass density	6.21	g/cm3

Cell: 4.899 3.361 4.899 Å, 90.00 90.00 90.00°
Atoms (fractional coordinates):
Y 0.000 0.000 0.500
Y 0.500 0.000 0.000
Ru 0.500 0.500 0.500
N 0.000 0.000 0.000
Be 0.000 0.500 0.000


Entry 2:
## Zr2BeRuN (GGA-PBE)

Data for an optimized crystal structure of Zr2BeRuN.

Output
crystal system	tetragonal
energy relative to the elements, uncorrected	-0.821	eV/atom
total magnetization	0.0	μB/cell
mass density	7.19	g/cm3

Cell: 4.597 4.597 3.349 Å, 90.00 90.00 90.00°
Atoms (fractional coordinates):
Ru 0.500 0.500 0.500
N 0.000 0.000 0.000
Zr 0.000 0.500 0.000
Zr 0.500 0.000 0.000
Be 0.000 0.000 0.500